First-principles (PBE) data for a relaxed Ca4TlPt crystal, as listed in the Alexandria database.

```
Ca4TlPt
1.0
0.000 4.447 4.447
4.447 0.000 4.447
4.447 4.447 0.000
Ca Tl Pt
4 1 1
direct
0.124 0.124 0.124
0.124 0.124 0.628
0.124 0.628 0.124
0.628 0.124 0.124
0.500 0.500 0.500
0.750 0.750 0.750
```

Calculated values
- distance to the lowest polymorph of the same formula (meV per atom) = 856

First-principles (PBE) data for a relaxed LiTmGe2 crystal, as listed in the Alexandria database.

```
LiTmGe2
1.0
7.883 0.000 0.000
0.000 3.833 0.000
0.000 0.000 10.209
Li Tm Ge
4 4 8
direct
0.022 0.250 0.101
0.478 0.750 0.601
0.522 0.250 0.399
0.978 0.750 0.899
0.129 0.750 0.360
0.371 0.250 0.860
0.629 0.750 0.140
0.871 0.250 0.640
0.151 0.750 0.693
0.240 0.750 0.056
0.260 0.250 0.556
0.349 0.250 0.193
0.651 0.750 0.807
0.740 0.750 0.444
0.760 0.250 0.944
0.849 0.250 0.307
```

Calculated values
- distance to the lowest polymorph of the same formula (meV per atom) = 0

| no. | formation enthalpy at 0 K (eV/atom) | Fermi-level density of states (states/eV/f.u.) | calculated density (g cm⁻³) |
| --- | --- | --- | --- |
| 1 | 0.319 | 5.03 | 5.3 |
| 2 | -0.577 | 1.83 | 6.9 |